Record 1
VASP calculation (PBE-GGA) on a relaxed K3Ac2ZrSe6 crystal.

* DOS at the Fermi energy: 0.47 states/eV per atom
* final energy: -5.0126 eV per atom
* ΔE_f (raw): -1.599 eV/atom

a b c (Å): 7.5883 13.1351 8.1482
angles (deg): 90.00 108.23 90.00
Space group C2/m (No. 12)
Symmetry-distinct sites (fractional):
K: 0.0000 0.0000 0.0000 x2
K: 0.0000 0.3304 0.0000 x4
Ac: 0.0000 0.1666 0.5000 x4
Zr: 0.0000 0.5000 0.5000 x2
Se: 0.2230 0.3481 0.7118 x8
Se: 0.2320 0.5000 0.2894 x4

Record 2
VASP calculation (PBE-GGA) on a relaxed KSiAuSe3 crystal.

* final energy: -3.9025 eV per atom
* ΔE_f (raw): -0.527 eV/atom

a b c (Å): 12.9912 7.4781 8.6472
angles (deg): 90.00 115.20 90.00
Space group C2/m (No. 12)
Symmetry-distinct sites (fractional):
K: 0.1800 0.0000 0.2589 x4
Si: 0.0079 0.5000 0.2486 x4
Au: 0.0000 0.2695 0.5000 x4
Se: 0.0985 0.2488 0.8154 x8
Se: 0.1869 0.5000 0.3014 x4

Q: Among the records above, which one has the highest final energy?
A: KSiAuSe3